1.
Computed, not measured: a relaxed FeIrBr crystal at the PBE-GGA level of DFT.

Properties
spin magnetization	1.248	μB per atom
energy above the lowest structure with this stoichiometry	0.402	eV/atom
SG	No. 187
ΔE_f (raw)	0.89	eV per atom
calculated total energy	-16.34	eV for the cell shown

abc: 4.3936 4.3936 2.9420
angles: 90.00 90.00 120.00
Site moments in Bohr magnetons follow the coordinates.
Positions (direct):
Ir 0.6667 0.3333 0.8332  0.47
Br 0.0000 0.0000 0.8341  0.06
Fe 0.3333 0.6667 0.3327  3.18

---

2.
Computed, not measured: a relaxed ThBW crystal at the PBE-GGA level of DFT.

Properties
spin magnetization	0.000	μB per atom
SG	No. 63
calculated total energy	-53.56	eV for the cell shown
energy of formation from the pure elements	0.09	eV/atom

abc: 5.3888 6.1928 3.5239
angles: 73.47 90.00 90.00
Positions (direct):
W 0.7500 0.6154 0.4424
W 0.2500 0.3846 0.5576
B 0.2500 0.1776 0.1609
B 0.7500 0.8224 0.8391
Th 0.2500 0.8134 0.8432
Th 0.7500 0.1866 0.1568

---

3.
Computed, not measured: a relaxed LaHf2FeBi crystal at the PBE-GGA level of DFT.

Properties
spin magnetization	0.007	μB per atom
SG	No. 123
calculated total energy	-31.65	eV for the cell shown
energy of formation from the pure elements	1.11	eV/atom

abc: 5.4618 4.7861 5.4618
angles: 90.00 90.00 90.00
Positions (direct):
Fe 0.0000 0.5000 0.0000
Hf 0.0000 0.0000 0.5000
Hf 0.5000 0.0000 0.0000
La 0.5000 0.5000 0.5000
Bi 0.0000 0.0000 0.0000

---

4.
Computed, not measured: a relaxed AcTb3Ho6 crystal at the PBE-GGA level of DFT.

Properties
spin magnetization	0.000	μB per atom
energy above the lowest structure with this stoichiometry	0.000	eV/atom
SG	No. 36
calculated total energy	-87.98	eV for the cell shown
energy of formation from the pure elements	0.15	eV/atom

abc: 8.9409 9.1133 9.1133
angles: 116.94 90.00 90.00
Positions (direct):
Tb 0.4344 0.9692 0.6866
Tb 0.4344 0.3134 0.0308
Tb 0.9156 0.4513 0.5487
Tb 0.9344 0.6866 0.9692
Tb 0.4156 0.5487 0.4513
Tb 0.9344 0.0308 0.3134
Ac 0.5155 0.7780 0.2220
Ac 0.0155 0.2220 0.7780
Ho 0.7766 0.8237 0.5311
Ho 0.6045 0.1964 0.3099
Ho 0.1397 0.7116 0.2884
Ho 0.6045 0.6901 0.8036
Ho 0.2766 0.5311 0.8237
Ho 0.2835 0.9515 0.0485
Ho 0.1045 0.3099 0.1964
Ho 0.2766 0.1763 0.4689
Ho 0.1045 0.8036 0.6901
Ho 0.7766 0.4689 0.1763
Ho 0.7835 0.0485 0.9515
Ho 0.6397 0.2884 0.7116

---

5.
Computed, not measured: a relaxed Ca3Tb2PaAs6 crystal at the PBE-GGA level of DFT.

Properties
spin magnetization	0.000	μB per atom
SG	No. 12
calculated total energy	-67.81	eV for the cell shown
energy of formation from the pure elements	-1.26	eV/atom

abc: 7.2697 7.2697 7.2570
angles: 99.62 99.62 120.05
Positions (direct):
Ca 0.8305 0.1695 0.5000
Ca 0.1695 0.8305 0.5000
Ca 0.5000 0.5000 0.5000
As 0.5962 0.9219 0.7653
As 0.7529 0.7529 0.2350
As 0.2471 0.2471 0.7650
As 0.4038 0.0781 0.2347
As 0.9219 0.5962 0.7653
As 0.0781 0.4038 0.2347
Tb 0.3334 0.6666 0.0000
Tb 0.6666 0.3334 0.0000
Pa 0.0000 0.0000 0.0000

---

6.
Computed, not measured: a relaxed Sr3Ca2Mg3 crystal at the PBE-GGA level of DFT.

Properties
spin magnetization	0.000	μB per atom
SG	No. 71
calculated total energy	-14.10	eV for the cell shown
energy of formation from the pure elements	-0.03	eV/atom

abc: 4.0875 6.1179 12.7694
angles: 103.86 99.21 90.00
Positions (direct):
Ca 0.7336 0.2336 0.4673
Ca 0.2664 0.7664 0.5327
Sr 0.6213 0.6213 0.2426
Sr 0.3787 0.3787 0.7574
Sr 0.5000 0.0000 0.0000
Mg 0.1216 0.1216 0.2432
Mg 0.0000 0.5000 0.0000
Mg 0.8784 0.8784 0.7568

---

7.
Computed, not measured: a relaxed YCo3Sn crystal at the PBE-GGA level of DFT.

Properties
spin magnetization	0.447	μB per atom
energy above the lowest structure with this stoichiometry	0.768	eV/atom
SG	No. 221
calculated total energy	-24.55	eV for the cell shown
energy of formation from the pure elements	1.45	eV/atom

abc: 4.6732 4.6732 4.6732
angles: 90.00 90.00 90.00
Site moments in Bohr magnetons follow the coordinates.
Positions (direct):
Co 0.0000 0.0000 0.5000  0.93
Co 0.5000 0.0000 0.0000  0.79
Co 0.0000 0.5000 0.0000  0.87
Y 0.0000 0.0000 0.0000  -0.18
Sn 0.5000 0.5000 0.5000  -0.01

---

8.
Computed, not measured: a relaxed Au2BrCl crystal at the PBE-GGA level of DFT.

Properties
spin magnetization	0.000	μB per atom
energy above the lowest structure with this stoichiometry	0.282	eV/atom
SG	No. 71
ΔE_f (raw)	0.18	eV per atom
calculated total energy	-9.35	eV for the cell shown

abc: 5.5571 5.5571 5.5571
angles: 140.51 99.83 93.30
Positions (direct):
Br 0.7500 0.2500 0.5000
Au 0.4945 0.4945 0.0000
Au 0.0055 0.0055 0.0000
Cl 0.2500 0.7500 0.5000

---

9.
Computed, not measured: a relaxed Mg5Tl2CdPb2 crystal at the PBE-GGA level of DFT.

Properties
spin magnetization	0.000	μB per atom
SG	No. 127
calculated total energy	-42.10	eV for the cell shown
energy of formation from the pure elements	0.00	eV/atom

abc: 3.4974 12.2495 12.2495
angles: 90.00 90.00 90.00
Positions (direct):
Pb 0.0000 0.3505 0.8505
Pb 0.0000 0.6495 0.1495
Pb 0.0000 0.8505 0.6495
Pb 0.0000 0.1495 0.3505
Mg 0.5000 0.8010 0.0026
Mg 0.5000 0.0000 0.5000
Mg 0.5000 0.4974 0.6990
Mg 0.5000 0.0026 0.1990
Mg 0.5000 0.3010 0.4974
Mg 0.5000 0.1990 0.9974
Mg 0.5000 0.5000 0.0000
Mg 0.5000 0.6990 0.5026
Mg 0.5000 0.9974 0.8010
Mg 0.5000 0.5026 0.3010
Tl 0.0000 0.3374 0.1626
Tl 0.0000 0.6626 0.8374
Tl 0.0000 0.1626 0.6626
Tl 0.0000 0.8374 0.3374
Cd 0.0000 0.0000 0.0000
Cd 0.0000 0.5000 0.5000

---

10.
Computed, not measured: a relaxed SmHo3Sc5 crystal at the PBE-GGA level of DFT.

Properties
spin magnetization	0.000	μB per atom
SG	No. 140
calculated total energy	-95.04	eV for the cell shown
energy of formation from the pure elements	0.29	eV/atom

abc: 8.3003 8.3003 9.2627
angles: 116.62 116.62 90.00
Positions (direct):
Sc 0.5000 0.5000 0.0000
Sc 0.4305 0.3392 0.2698
Sc 0.0695 0.5695 0.7302
Sc 0.5695 0.6608 0.7302
Sc 0.9305 0.4305 0.2698
Sc 0.8392 0.9305 0.2698
Sc 0.3392 0.8392 0.2698
Sc 0.1608 0.0695 0.7302
Sc 0.0000 0.0000 0.0000
Sc 0.6608 0.1608 0.7302
Ho 0.1201 0.3799 0.0000
Ho 0.3799 0.8799 0.0000
Ho 0.7500 0.7500 0.5000
Ho 0.8799 0.6201 0.0000
Ho 0.6201 0.1201 0.0000
Ho 0.2500 0.2500 0.5000
Sm 0.2500 0.7500 0.5000
Sm 0.7500 0.2500 0.5000

---

11.
Computed, not measured: a relaxed CaSb2O4 crystal at the PBE-GGA level of DFT.

Properties
spin magnetization	0.000	μB per atom
energy above the lowest structure with this stoichiometry	0.100	eV/atom
SG	No. 57
ΔE_f (raw)	-1.70	eV per atom
calculated total energy	-167.79	eV for the cell shown

abc: 3.8163 10.7482 10.8323
angles: 90.00 90.00 90.00
Positions (direct):
O 0.1277 0.3891 0.9544
O 0.7539 0.0000 0.7500
O 0.2461 0.5000 0.2500
O 0.2461 0.0000 0.2500
O 0.1785 0.7500 0.3129
O 0.1785 0.2500 0.1871
O 0.1277 0.8891 0.5456
O 0.8723 0.3891 0.4544
O 0.8723 0.6109 0.0456
O 0.8723 0.1109 0.4544
O 0.8215 0.2500 0.6871
O 0.7539 0.5000 0.7500
O 0.1277 0.1109 0.9544
O 0.8215 0.7500 0.8129
O 0.1277 0.6109 0.5456
O 0.8723 0.8891 0.0456
Sb 0.9191 0.0874 0.1260
Sb 0.9191 0.5874 0.3740
Sb 0.9191 0.4126 0.1260
Sb 0.0809 0.5874 0.8740
Sb 0.9191 0.9126 0.3740
Sb 0.0809 0.0874 0.6260
Sb 0.0809 0.9126 0.8740
Sb 0.0809 0.4126 0.6260
Ca 0.5902 0.7500 0.6195
Ca 0.4098 0.7500 0.1195
Ca 0.4098 0.2500 0.3805
Ca 0.5902 0.2500 0.8805

---

12.
Computed, not measured: a relaxed MgTa2Se4I2 crystal at the PBE-GGA level of DFT.

Properties
spin magnetization	0.000	μB per atom
SG	No. 156
ΔE_f (raw)	-0.72	eV per atom
calculated total energy	-48.80	eV for the cell shown

abc: 3.6309 3.6309 22.5827
angles: 90.00 90.00 120.00
Positions (direct):
I 0.6667 0.3333 0.2415
I 0.6667 0.3333 0.4128
Ta 0.6667 0.3333 0.6598
Ta 0.0000 0.0000 0.9721
Se 0.0000 0.0000 0.7318
Se 0.6667 0.3333 0.0445
Se 0.0000 0.0000 0.5874
Se 0.6667 0.3333 0.9001
Mg 0.0000 0.0000 0.3272